# U2SiTc | the Alexandria database | PBE | relaxed
data_U2SiTc
_chemical_formula_sum 'U2 Si1 Tc1'
_cell_length_a 4.0382
_cell_length_b 4.0382
_cell_length_c 4.2966
_cell_angle_alpha 90.00
_cell_angle_beta 90.00
_cell_angle_gamma 90.00
_space_group_name_H-M_alt 'P 1'
_space_group_IT_number 1
_space_group_name_Hall 'P 1'
loop_
_atom_site_label
_atom_site_fract_x
_atom_site_fract_y
_atom_site_fract_z
U1 0.0000 0.5000 0.0000
U2 0.5000 0.0000 0.0000
Si1 0.0000 0.0000 0.5000
Tc1 0.5000 0.5000 0.5000
# - Formation energy from raw total energies: -1.1 eV per formula unit
# - Total energy: -9.869 eV/atom
# - Space-group type: P4/mmm (123)
# - Relative energy among the computed polymorphs: 0 meV/atom



# Al3CuRu2 | the Alexandria database | PBE | relaxed
data_Al3CuRu2
_chemical_formula_sum 'Al3 Cu1 Ru2'
_cell_length_a 6.6525
_cell_length_b 6.6525
_cell_length_c 3.0695
_cell_angle_alpha 90.00
_cell_angle_beta 90.00
_cell_angle_gamma 143.50
_space_group_name_H-M_alt 'P 1'
_space_group_IT_number 1
_space_group_name_Hall 'P 1'
loop_
_atom_site_label
_atom_site_fract_x
_atom_site_fract_y
_atom_site_fract_z
Al1 0.0000 0.0000 0.0000
Al2 0.3263 0.6737 0.0000
Al3 0.6737 0.3263 0.0000
Cu1 0.5000 0.5000 0.5000
Ru1 0.1590 0.8410 0.5000
Ru2 0.8410 0.1590 0.5000
# - Energy relative to the elements: -0.62 eV/atom
# - Total energy: -6.263 eV/atom
# - Space-group type: Cmmm (65)



What is the total energy in the second record?
-6.263 eV/atom